1.
Compound: SmPuIrRu
Source: the Alexandria database
Functional: PBE
Structure: relaxed

Results
ΔH_f (0 K) (eV per formula unit): -1.28

Cell: 6.8890 6.8890 6.8890 Å, 90.00 90.00 90.00°
Last column: nearest neighbours and their distance in Å.
Space group F-43m (No. 216)
Asymmetric unit:
Sm 0.0000 0.0000 0.0000  4 Ru 2.98, 4 Ir 2.98
Pu 0.0000 0.0000 0.5000  4 Ru 2.98, 4 Ir 2.98
Ir 0.2500 0.2500 0.2500  4 Sm 2.98, 4 Pu 2.98
Ru 0.2500 0.2500 0.7500  4 Sm 2.98, 4 Pu 2.98

=====

2.
Compound: PuThIrRu
Source: the Alexandria database
Functional: PBE
Structure: relaxed

Results
ΔH_f (0 K) (eV per formula unit): -1.65

Cell: 6.9796 6.9796 6.9796 Å, 90.00 90.00 90.00°
Last column: nearest neighbours and their distance in Å.
Space group F-43m (No. 216)
Asymmetric unit:
Pu 0.0000 0.0000 0.0000  4 Ru 3.02, 4 Ir 3.02
Th 0.0000 0.0000 0.5000  4 Ir 3.02, 4 Ru 3.02
Ir 0.2500 0.2500 0.7500  4 Th 3.02, 4 Pu 3.02
Ru 0.2500 0.2500 0.2500  4 Th 3.02, 4 Pu 3.02

=====

3.
Compound: TmPuIrRu
Source: the Alexandria database
Functional: PBE
Structure: relaxed

Results
ΔH_f (0 K) (eV per formula unit): -1.93

Cell: 6.7693 6.7693 6.7693 Å, 90.00 90.00 90.00°
Last column: nearest neighbours and their distance in Å.
Space group F-43m (No. 216)
Asymmetric unit:
Tm 0.0000 0.0000 0.0000  4 Ru 2.93, 4 Ir 2.93
Pu 0.0000 0.0000 0.5000  4 Ru 2.93, 4 Ir 2.93
Ir 0.2500 0.2500 0.7500  4 Tm 2.93, 4 Pu 2.93
Ru 0.2500 0.2500 0.2500  4 Tm 2.93, 4 Pu 2.93

=====

4.
Compound: YPuIrRu
Source: the Alexandria database
Functional: PBE
Structure: relaxed

Results
ΔH_f (0 K) (eV per formula unit): -1.62

Cell: 6.8248 6.8248 6.8248 Å, 90.00 90.00 90.00°
Last column: nearest neighbours and their distance in Å.
Space group F-43m (No. 216)
Asymmetric unit:
Y 0.0000 0.0000 0.0000  4 Ru 2.96, 4 Ir 2.96
Pu 0.0000 0.0000 0.5000  4 Ir 2.96, 4 Ru 2.96
Ir 0.2500 0.2500 0.2500  4 Pu 2.96, 4 Y 2.96
Ru 0.2500 0.2500 0.7500  4 Pu 2.96, 4 Y 2.96

=====

5.
Compound: PuZrIrRu
Source: the Alexandria database
Functional: PBE
Structure: relaxed

Results
ΔH_f (0 K) (eV per formula unit): -1.76

Cell: 6.6995 6.6995 6.6995 Å, 90.00 90.00 90.00°
Last column: nearest neighbours and their distance in Å.
Space group F-43m (No. 216)
Asymmetric unit:
Pu 0.0000 0.0000 0.0000  4 Ru 2.90, 4 Ir 2.90
Zr 0.0000 0.0000 0.5000  4 Ru 2.90, 4 Ir 2.90
Ir 0.2500 0.2500 0.7500  4 Zr 2.90, 4 Pu 2.90
Ru 0.2500 0.2500 0.2500  4 Zr 2.90, 4 Pu 2.90

=====

6.
Compound: PuIrS
Source: the Alexandria database
Functional: PBE
Structure: relaxed

Results
Uncorrected formation energy (kJ per mole of atoms): -64.71

Cell: 4.3558 4.3558 25.6912 Å, 90.00 90.00 120.00°
Last column: nearest neighbours and their distance in Å.
Space group R-3m (No. 166, hexagonal axes)
Asymmetric unit:
Pu 0.0000 0.0000 0.2381  4 S 2.64-2.86, 1 Ir 2.67
Ir 0.0000 0.0000 0.3420  3 Ir 2.55, 1 Pu 2.67
S 0.0000 0.0000 0.1266  4 Pu 2.64-2.86

=====

7.
Compound: Pu2SbIr
Source: the Alexandria database
Functional: PBE
Structure: relaxed

Results
Energy above the most stable polymorph in this dataset (eV per atom): 0.000
Uncorrected formation energy (kJ per mole of atoms): -48.31

Cell: 3.4182 3.4182 7.9945 Å, 90.00 90.00 90.00°
Last column: nearest neighbours and their distance in Å.
Space group P4/mmm (No. 123)
Asymmetric unit:
Pu 0.0000 0.0000 0.2126  4 Ir 2.95
Sb 0.5000 0.5000 0.5000  8 Pu 3.33, 4 Sb 3.42
Ir 0.5000 0.5000 0.0000  8 Pu 2.95

=====

8.
Compound: PuSbIr
Source: the Alexandria database
Functional: PBE
Structure: relaxed

Results
Uncorrected formation energy (kJ per mole of atoms): -17.69

Cell: 3.7419 3.7419 9.5919 Å, 90.00 90.00 90.00°
Last column: nearest neighbours and their distance in Å.
Space group I4mm (No. 107)
Asymmetric unit:
Pu 0.0000 0.0000 0.0000  4 Ir 2.85, 5 Sb 3.01-3.19
Sb 0.0000 0.0000 0.6861  1 Ir 2.86, 5 Pu 3.01-3.19
Ir 0.0000 0.0000 0.3884  4 Pu 2.85, 1 Sb 2.86

=====

9.
Compound: Pu2SbIr
Source: the Alexandria database
Functional: PBE
Structure: relaxed

Results
Energy above the most stable polymorph in this dataset (eV per atom): 0.099
Uncorrected formation energy (kJ per mole of atoms): -38.78

Cell: 4.5031 4.5031 4.3438 Å, 90.00 90.00 90.00°
Last column: nearest neighbours and their distance in Å.
Space group P4/mmm (No. 123)
Asymmetric unit:
Pu 0.0000 0.5000 0.0000  4 Sb 3.13, 4 Ir 3.13, 4 Pu 3.18
Sb 0.0000 0.0000 0.5000  8 Pu 3.13, 4 Ir 3.18
Ir 0.5000 0.5000 0.5000  8 Pu 3.13, 4 Sb 3.18

=====

10.
Compound: Pu4SbIr
Source: the Alexandria database
Functional: PBE
Structure: relaxed

Results
Uncorrected formation energy (kJ per mole of atoms): -30.51

Cell: 5.9049 5.5243 9.1296 Å, 90.00 98.66 90.00°
Last column: nearest neighbours and their distance in Å.
Space group C2/m (No. 12)
Asymmetric unit:
Pu 0.0366 0.0000 0.1728  1 Ir 3.03, 4 Pu 3.12-3.34, 4 Sb 3.17-3.36
Pu 0.0698 0.5000 0.3573  1 Ir 2.67, 1 Pu 2.85
Sb 0.0000 0.5000 0.0000  10 Pu 3.17-3.36
Ir 0.0000 0.0000 0.5000  2 Pu 2.67

=====

11.
Compound: PuSb12Ir4
Source: the Alexandria database
Functional: PBE
Structure: relaxed

Results
Uncorrected formation energy (kJ per mole of atoms): -31.16

Cell: 9.4540 9.4540 9.4540 Å, 90.00 90.00 90.00°
Last column: nearest neighbours and their distance in Å.
Space group Im-3 (No. 204)
Asymmetric unit:
Pu 0.0000 0.0000 0.0000  12 Sb 3.49
Sb 0.0000 0.3363 0.1535  2 Ir 2.66, 1 Sb 2.90
Ir 0.2500 0.2500 0.2500  6 Sb 2.66

=====

12.
Compound: PuSbIr
Source: the Alexandria database
Functional: PBE
Structure: relaxed

Results
Uncorrected formation energy (kJ per mole of atoms): -43.23

Cell: 4.5989 4.5989 3.6152 Å, 90.00 90.00 120.00°
Last column: nearest neighbours and their distance in Å.
Space group P-6m2 (No. 187)
Asymmetric unit:
Pu 0.0000 0.0000 0.0000  6 Sb 3.21, 6 Ir 3.21
Sb 0.3333 0.6667 0.5000  3 Ir 2.66
Ir 0.6667 0.3333 0.5000  3 Sb 2.66

=====

13.
Compound: PuSc3Ir4
Source: the Alexandria database
Functional: PBE
Structure: relaxed

Results
ΔH_f (0 K) (eV per formula unit): -6.50

Cell: 3.1395 4.7278 9.5667 Å, 90.00 90.00 90.00°
Last column: nearest neighbours and their distance in Å.
Space group Pmmm (No. 47)
Asymmetric unit:
Pu 0.0000 0.0000 0.0000  8 Ir 2.84-2.97, 2 Pu 3.14
Sc 0.0000 0.0000 0.5000  8 Ir 2.75-2.84
Sc 0.0000 0.5000 0.2572  8 Ir 2.80-2.92, 2 Sc 3.14
Ir 0.5000 0.0000 0.2637  6 Sc 2.75-2.84, 2 Pu 2.97
Ir 0.5000 0.5000 0.0000  4 Pu 2.84, 4 Sc 2.92, 2 Ir 3.14
Ir 0.5000 0.5000 0.5000  8 Sc 2.80-2.84, 2 Ir 3.14

=====

| no. | density of states at the Fermi level (states/eV per atom) | VASP energy (eV per atom) |
| --- | --- | --- |
| 1 | 1.783 | -9.62 |
| 2 | 2.052 | -10.38 |
| 3 | 1.581 | -9.72 |
| 4 | 1.667 | -10.14 |
| 5 | 1.736 | -10.69 |
| 6 | 2.720 | -9.78 |
| 7 | 3.423 | -10.91 |
| 8 | 2.115 | -9.29 |
| 9 | 3.082 | -10.81 |
| 10 | 3.942 | -12.03 |
| 11 | 0.892 | -6.16 |
| 12 | 4.063 | -9.55 |
| 13 | 1.247 | -9.41 |